Entry 1:
# Tl2CrPb (SCAN, PBEsol geometry)
# Fermi-level density of states in states/eV per atom: 0.5021
# ΔH_f (0 K) in meV per atom: 245
data_Tl2CrPb
_cell_length_a 3.3350
_cell_length_b 3.3350
_cell_length_c 8.6642
_cell_angle_alpha 90.00
_cell_angle_beta 90.00
_cell_angle_gamma 90.00
_space_group_name_H-M_alt 'P 4/m m m'
_space_group_IT_number 123
_space_group_name_Hall '-P 4 2'
loop_
_atom_site_label
_atom_site_fract_x
_atom_site_fract_y
_atom_site_fract_z
_atom_site_occupancy
Tl1 0.0000 0.0000 0.2088 1
Cr1 0.5000 0.5000 0.0000 1
Pb1 0.5000 0.5000 0.5000 1



Entry 2:
# LaAg2Mo (SCAN, PBEsol geometry)
# Fermi-level density of states in states/eV per atom: 0.9492
# ΔH_f (0 K) in meV per atom: 469
data_LaAg2Mo
_cell_length_a 4.1604
_cell_length_b 4.1604
_cell_length_c 4.4766
_cell_angle_alpha 90.00
_cell_angle_beta 90.00
_cell_angle_gamma 90.00
_space_group_name_H-M_alt 'P 4/m m m'
_space_group_IT_number 123
_space_group_name_Hall '-P 4 2'
loop_
_atom_site_label
_atom_site_fract_x
_atom_site_fract_y
_atom_site_fract_z
_atom_site_occupancy
La1 0.0000 0.0000 0.0000 1
Ag1 0.0000 0.5000 0.5000 1
Mo1 0.5000 0.5000 0.0000 1



Entry 3:
# TaMo (SCAN, PBEsol geometry)
# Fermi-level density of states in states/eV per atom: 0.6854
# ΔH_f (0 K) in meV per atom: -143
data_TaMo
_cell_length_a 3.1803
_cell_length_b 3.1803
_cell_length_c 6.4527
_cell_angle_alpha 90.00
_cell_angle_beta 90.00
_cell_angle_gamma 90.00
_space_group_name_H-M_alt 'P 4/n m m'
_space_group_IT_number 129
loop_
_space_group_symop_operation_xyz
'x,y,z'
'-x,-y,-z'
'-y+1/2,x,z'
'y+1/2,-x,-z'
'-x+1/2,-y+1/2,z'
'x+1/2,y+1/2,-z'
'y,-x+1/2,z'
'-y,x+1/2,-z'
'x+1/2,-y,-z'
'-x+1/2,y,z'
'-y,-x,-z'
'y,x,z'
'-x,y+1/2,-z'
'x,-y+1/2,z'
'y+1/2,x+1/2,-z'
'-y+1/2,-x+1/2,z'
loop_
_atom_site_label
_atom_site_fract_x
_atom_site_fract_y
_atom_site_fract_z
_atom_site_occupancy
Ta1 0.2500 0.2500 0.1320 1
Mo1 0.2500 0.2500 0.6185 1



Entry 4:
# ScAg3Se (SCAN, PBEsol geometry)
# Energy in eV/atom: -24.588
# Fermi-level density of states in states/eV per atom: 0.9789
data_ScAg3Se
_cell_length_a 5.0093
_cell_length_b 5.0093
_cell_length_c 5.0093
_cell_angle_alpha 90.00
_cell_angle_beta 90.00
_cell_angle_gamma 90.00
_space_group_name_H-M_alt 'P m -3 m'
_space_group_IT_number 221
_space_group_name_Hall '-P 4 2 3'
loop_
_atom_site_label
_atom_site_fract_x
_atom_site_fract_y
_atom_site_fract_z
_atom_site_occupancy
Sc1 0.0000 0.0000 0.0000 1
Ag1 0.0000 0.0000 0.5000 1
Se1 0.5000 0.5000 0.5000 1



Entry 5:
# Cs3CoBr5 (SCAN, PBEsol geometry)
# Energy in eV/atom: -26.925
# Fermi-level density of states in states/eV per atom: 0.0000
data_Cs3CoBr5
_cell_length_a 9.5124
_cell_length_b 9.5124
_cell_length_c 14.8286
_cell_angle_alpha 90.00
_cell_angle_beta 90.00
_cell_angle_gamma 90.00
_space_group_name_H-M_alt 'I 4/m c m'
_space_group_IT_number 140
_space_group_name_Hall '-I 4 2c'
loop_
_atom_site_label
_atom_site_fract_x
_atom_site_fract_y
_atom_site_fract_z
_atom_site_occupancy
Cs1 0.0000 0.0000 0.2500 1
Cs2 0.1606 0.3394 0.0000 1
Co1 0.0000 0.5000 0.2500 1
Br1 0.0000 0.0000 0.0000 1
Br2 0.1417 0.3583 0.3432 1



Entry 6:
# NaZrIrSe2 (SCAN, PBEsol geometry)
# Energy in eV/atom: -29.135
# Fermi-level density of states in states/eV per atom: 0.8377
data_NaZrIrSe2
_cell_length_a 5.1091
_cell_length_b 5.1091
_cell_length_c 4.8296
_cell_angle_alpha 90.00
_cell_angle_beta 90.00
_cell_angle_gamma 90.00
_space_group_name_H-M_alt 'P 4/m m m'
_space_group_IT_number 123
_space_group_name_Hall '-P 4 2'
loop_
_atom_site_label
_atom_site_fract_x
_atom_site_fract_y
_atom_site_fract_z
_atom_site_occupancy
Na1 0.0000 0.0000 0.0000 1
Zr1 0.5000 0.5000 0.0000 1
Ir1 0.5000 0.5000 0.5000 1
Se1 0.0000 0.5000 0.5000 1



Entry 7:
# HfZrNiPb2 (SCAN, PBEsol geometry)
# Fermi-level density of states in states/eV per atom: 0.7134
# ΔH_f (0 K) in meV per atom: 1005
data_HfZrNiPb2
_cell_length_a 5.4277
_cell_length_b 5.4277
_cell_length_c 4.4512
_cell_angle_alpha 90.00
_cell_angle_beta 90.00
_cell_angle_gamma 90.00
_space_group_name_H-M_alt 'P 4/m m m'
_space_group_IT_number 123
_space_group_name_Hall '-P 4 2'
loop_
_atom_site_label
_atom_site_fract_x
_atom_site_fract_y
_atom_site_fract_z
_atom_site_occupancy
Hf1 0.0000 0.0000 0.0000 1
Zr1 0.5000 0.5000 0.5000 1
Ni1 0.5000 0.5000 0.0000 1
Pb1 0.0000 0.5000 0.5000 1



Entry 8:
# Ba11In6O3 (SCAN, PBEsol geometry)
# Energy in eV/atom: -33.900
# Fermi-level density of states in states/eV per atom: 0.7188
data_Ba11In6O3
_cell_length_a 15.3297
_cell_length_b 15.3297
_cell_length_c 11.0711
_cell_angle_alpha 90.00
_cell_angle_beta 90.00
_cell_angle_gamma 90.00
_space_group_name_H-M_alt 'I 4/m c m'
_space_group_IT_number 140
_space_group_name_Hall '-I 4 2c'
loop_
_atom_site_label
_atom_site_fract_x
_atom_site_fract_y
_atom_site_fract_z
_atom_site_occupancy
Ba1 0.0000 0.0000 0.0000 1
Ba2 0.1245 0.3755 0.2018 1
Ba3 0.1261 0.1261 0.2500 1
Ba4 0.2304 0.2696 0.5000 1
In1 0.9999 0.2414 0.0000 1
In2 0.0661 0.4339 0.5000 1
O1 0.0000 0.0000 0.2500 1
O2 0.2500 0.2500 0.2500 1



Entry 9:
# Hg2TePb (SCAN, PBEsol geometry)
# Energy in eV/atom: -62.293
# Fermi-level density of states in states/eV per atom: 0.3687
data_Hg2TePb
_cell_length_a 6.3137
_cell_length_b 11.0871
_cell_length_c 3.1071
_cell_angle_alpha 90.00
_cell_angle_beta 90.00
_cell_angle_gamma 90.00
_space_group_name_H-M_alt 'C m m m'
_space_group_IT_number 65
_space_group_name_Hall '-C 2 2'
loop_
_atom_site_label
_atom_site_fract_x
_atom_site_fract_y
_atom_site_fract_z
_atom_site_occupancy
Hg1 0.2500 0.2500 0.0000 1
Te1 0.0000 0.0000 0.5000 1
Pb1 0.0000 0.5000 0.5000 1



Entry 10:
# Na2CdO2 (SCAN, PBEsol geometry)
# Energy in eV/atom: -11.591
# Fermi-level density of states in states/eV per atom: 0.0285
data_Na2CdO2
_cell_length_a 15.1784
_cell_length_b 10.6397
_cell_length_c 10.7260
_cell_angle_alpha 90.00
_cell_angle_beta 134.75
_cell_angle_gamma 90.00
_space_group_name_H-M_alt 'C 1 2 1'
_space_group_IT_number 5
_space_group_name_Hall 'C 2y'
loop_
_atom_site_label
_atom_site_fract_x
_atom_site_fract_y
_atom_site_fract_z
_atom_site_occupancy
Na1 0.0913 0.0000 0.4786 1
Na2 0.0959 0.4895 0.6995 1
Na3 0.1282 0.2214 0.7792 1
Na4 0.1328 0.7222 0.4743 1
Na5 0.1360 0.0138 0.9832 1
Na6 0.1358 0.9581 0.2538 1
Na7 0.1393 0.2653 0.5270 1
Na8 0.1404 0.5142 0.2968 1
Cd1 0.0965 0.2311 0.2125 1
Cd2 0.1006 0.7432 0.9993 1
Cd3 0.1334 0.7670 0.7501 1
Cd4 0.1368 0.4589 0.0137 1
O1 0.0000 0.0953 0.0000 1
O2 0.0000 0.1495 0.5000 1
O3 0.0000 0.5871 0.0000 1
O4 0.0000 0.6550 0.5000 1
O5 0.0010 0.3677 0.2400 1
O6 0.0077 0.8587 0.7589 1
O7 0.2030 0.6166 0.9570 1
O8 0.2088 0.1175 0.4526 1
O9 0.2435 0.3615 0.2635 1
O10 0.2445 0.8639 0.2087 1



Entry 11:
# ZnSbPb2 (SCAN, PBEsol geometry)
# Energy in eV/atom: -50.371
# Fermi-level density of states in states/eV per atom: 0.4811
data_ZnSbPb2
_cell_length_a 7.4805
_cell_length_b 7.4805
_cell_length_c 7.4805
_cell_angle_alpha 90.00
_cell_angle_beta 90.00
_cell_angle_gamma 90.00
_space_group_name_H-M_alt 'F m -3 m'
_space_group_IT_number 225
_space_group_name_Hall '-F 4 2 3'
loop_
_atom_site_label
_atom_site_fract_x
_atom_site_fract_y
_atom_site_fract_z
_atom_site_occupancy
Zn1 0.0000 0.0000 0.0000 1
Sb1 0.0000 0.0000 0.5000 1
Pb1 0.2500 0.2500 0.2500 1



Entry 12:
# InAg2Te (SCAN, PBEsol geometry)
# Energy in eV/atom: -33.240
# Fermi-level density of states in states/eV per atom: 0.3540
data_InAg2Te
_cell_length_a 4.1272
_cell_length_b 4.4459
_cell_length_c 4.7210
_cell_angle_alpha 90.00
_cell_angle_beta 90.00
_cell_angle_gamma 90.00
_space_group_name_H-M_alt 'P m m m'
_space_group_IT_number 47
_space_group_name_Hall '-P 2 2'
loop_
_atom_site_label
_atom_site_fract_x
_atom_site_fract_y
_atom_site_fract_z
_atom_site_occupancy
In1 0.0000 0.0000 0.0000 1
Ag1 0.5000 0.0000 0.5000 1
Ag2 0.5000 0.5000 0.0000 1
Te1 0.0000 0.5000 0.5000 1



Entry 13:
# FeHgB2 (SCAN, PBEsol geometry)
# Fermi-level density of states in states/eV per atom: 0.3452
# ΔH_f (0 K) in meV per atom: 587
data_FeHgB2
_cell_length_a 3.7062
_cell_length_b 3.7062
_cell_length_c 13.7084
_cell_angle_alpha 90.00
_cell_angle_beta 90.00
_cell_angle_gamma 90.00
_space_group_name_H-M_alt 'I 41/a m d'
_space_group_IT_number 141
loop_
_space_group_symop_operation_xyz
'x,y,z'
'-x,-y,-z'
'-y+1/4,x+3/4,z+1/4'
'y+1/4,-x+3/4,-z+1/4'
'-x+1/2,-y,z+1/2'
'x+1/2,y,-z+1/2'
'y+1/4,-x+1/4,z+3/4'
'-y+1/4,x+1/4,-z+3/4'
'x,-y,-z'
'-x,y,z'
'-y+1/4,-x+1/4,-z+3/4'
'y+1/4,x+1/4,z+3/4'
'-x+1/2,y,-z+1/2'
'x+1/2,-y,z+1/2'
'y+1/4,x+3/4,-z+1/4'
'-y+1/4,-x+3/4,z+1/4'
'x+1/2,y+1/2,z+1/2'
'-x+1/2,-y+1/2,-z+1/2'
'-y+3/4,x+1/4,z+3/4'
'y+3/4,-x+1/4,-z+3/4'
'-x,-y+1/2,z'
'x,y+1/2,-z'
'y+3/4,-x+3/4,z+1/4'
'-y+3/4,x+3/4,-z+1/4'
'x+1/2,-y+1/2,-z+1/2'
'-x+1/2,y+1/2,z+1/2'
'-y+3/4,-x+3/4,-z+1/4'
'y+3/4,x+3/4,z+1/4'
'-x,y+1/2,-z'
'x,-y+1/2,z'
'y+3/4,x+1/4,-z+3/4'
'-y+3/4,-x+1/4,z+3/4'
loop_
_atom_site_label
_atom_site_fract_x
_atom_site_fract_y
_atom_site_fract_z
_atom_site_occupancy
Fe1 0.0000 0.2500 0.3750 1
Hg1 0.0000 0.2500 0.8750 1
B1 0.0000 0.0000 0.5000 1



Entry 14:
# KCd2Te (SCAN, PBEsol geometry)
# Energy in eV/atom: -26.859
# Fermi-level density of states in states/eV per atom: 0.2904
data_KCd2Te
_cell_length_a 3.3121
_cell_length_b 5.6533
_cell_length_c 5.9204
_cell_angle_alpha 90.00
_cell_angle_beta 90.00
_cell_angle_gamma 90.00
_space_group_name_H-M_alt 'P m m m'
_space_group_IT_number 47
_space_group_name_Hall '-P 2 2'
loop_
_atom_site_label
_atom_site_fract_x
_atom_site_fract_y
_atom_site_fract_z
_atom_site_occupancy
K1 0.0000 0.0000 0.0000 1
Cd1 0.5000 0.5000 0.2494 1
Te1 0.5000 0.0000 0.5000 1



Entry 15:
# Zn2AgHg (SCAN, PBEsol geometry)
# Fermi-level density of states in states/eV per atom: 0.2446
# ΔH_f (0 K) in meV per atom: 130
data_Zn2AgHg
_cell_length_a 3.0080
_cell_length_b 4.9258
_cell_length_c 9.0662
_cell_angle_alpha 90.00
_cell_angle_beta 90.00
_cell_angle_gamma 90.00
_space_group_name_H-M_alt 'I m m m'
_space_group_IT_number 71
_space_group_name_Hall '-I 2 2'
loop_
_atom_site_label
_atom_site_fract_x
_atom_site_fract_y
_atom_site_fract_z
_atom_site_occupancy
Zn1 0.0000 0.0000 0.2438 1
Ag1 0.0000 0.5000 0.5000 1
Hg1 0.0000 0.5000 0.0000 1



Entry 16:
# BaNi2Pt (SCAN, PBEsol geometry)
# Fermi-level density of states in states/eV per atom: 0.8552
# ΔH_f (0 K) in meV per atom: 269
data_BaNi2Pt
_cell_length_a 2.9689
_cell_length_b 3.5507
_cell_length_c 6.7530
_cell_angle_alpha 90.00
_cell_angle_beta 90.00
_cell_angle_gamma 90.00
_space_group_name_H-M_alt 'P m m m'
_space_group_IT_number 47
_space_group_name_Hall '-P 2 2'
loop_
_atom_site_label
_atom_site_fract_x
_atom_site_fract_y
_atom_site_fract_z
_atom_site_occupancy
Ba1 0.0000 0.0000 0.0000 1
Ni1 0.5000 0.5000 0.3296 1
Pt1 0.0000 0.0000 0.5000 1



Entry 17:
# Be7Co (SCAN, PBEsol geometry)
# Fermi-level density of states in states/eV per atom: 0.2732
# ΔH_f (0 K) in meV per atom: -58
data_Be7Co
_cell_length_a 6.3759
_cell_length_b 6.3759
_cell_length_c 6.3759
_cell_angle_alpha 90.00
_cell_angle_beta 90.00
_cell_angle_gamma 90.00
_space_group_name_H-M_alt 'F m -3 m'
_space_group_IT_number 225
_space_group_name_Hall '-F 4 2 3'
loop_
_atom_site_label
_atom_site_fract_x
_atom_site_fract_y
_atom_site_fract_z
_atom_site_occupancy
Be1 0.0000 0.0000 0.0000 1
Be2 0.0000 0.2500 0.2500 1
Co1 0.0000 0.0000 0.5000 1



Entry 18:
# Rb2NaBiF6 (SCAN, PBEsol geometry)
# Energy in eV/atom: -17.302
# Fermi-level density of states in states/eV per atom: 0.0000
data_Rb2NaBiF6
_cell_length_a 8.9904
_cell_length_b 8.9904
_cell_length_c 8.9904
_cell_angle_alpha 90.00
_cell_angle_beta 90.00
_cell_angle_gamma 90.00
_space_group_name_H-M_alt 'F m -3 m'
_space_group_IT_number 225
_space_group_name_Hall '-F 4 2 3'
loop_
_atom_site_label
_atom_site_fract_x
_atom_site_fract_y
_atom_site_fract_z
_atom_site_occupancy
Rb1 0.2500 0.2500 0.2500 1
Na1 0.0000 0.0000 0.0000 1
Bi1 0.0000 0.0000 0.5000 1
F1 0.0000 0.0000 0.2502 1



Entry 19:
# Sr2Ca6Mn7FeO24 (SCAN, PBEsol geometry)
# Energy in eV/atom: -12.547
# Fermi-level density of states in states/eV per atom: 0.0354
data_Sr2Ca6Mn7FeO24
_cell_length_a 7.4562
_cell_length_b 10.6047
_cell_length_c 10.7093
_cell_angle_alpha 90.00
_cell_angle_beta 90.00
_cell_angle_gamma 90.00
_space_group_name_H-M_alt 'A m m 2'
_space_group_IT_number 38
_space_group_name_Hall 'A 2 -2'
loop_
_atom_site_label
_atom_site_fract_x
_atom_site_fract_y
_atom_site_fract_z
_atom_site_occupancy
Sr1 0.2503 0.0000 0.0000 1
Ca1 0.2495 0.0000 0.4916 1
Ca2 0.2509 0.2476 0.7416 1
Mn1 0.0000 0.0000 0.2470 1
Mn2 0.0000 0.2480 0.4950 1
Mn3 0.5000 0.0000 0.2467 1
Mn4 0.5000 0.0000 0.7444 1
Mn5 0.5000 0.2473 0.4950 1
Fe1 0.0000 0.0000 0.7446 1
O1 0.0000 0.1193 0.3863 1
O2 0.0000 0.1261 0.6321 1
O3 0.0000 0.1272 0.8782 1
O4 0.0000 0.1295 0.1359 1
O5 0.2492 0.0000 0.7554 1
O6 0.2499 0.0000 0.2621 1
O7 0.2500 0.2465 0.5126 1
O8 0.5000 0.1188 0.3872 1
O9 0.5000 0.1272 0.8803 1
O10 0.5000 0.1292 0.1365 1
O11 0.5000 0.1287 0.6352 1



Entry 20:
# Ru2W (SCAN, PBEsol geometry)
# Fermi-level density of states in states/eV per atom: 1.0195
# ΔH_f (0 K) in meV per atom: 219
data_Ru2W
_cell_length_a 4.2753
_cell_length_b 4.2753
_cell_length_c 2.7086
_cell_angle_alpha 90.00
_cell_angle_beta 90.00
_cell_angle_gamma 120.00
_space_group_name_H-M_alt 'P 6/m m m'
_space_group_IT_number 191
_space_group_name_Hall '-P 6 2'
loop_
_atom_site_label
_atom_site_fract_x
_atom_site_fract_y
_atom_site_fract_z
_atom_site_occupancy
Ru1 0.3333 0.6667 0.0000 1
W1 0.0000 0.0000 0.5000 1